Entry 1:
TaGaCo3 after structural relaxation. Source: Alexandria via LeMat-Bulk, functional PBE.

Values from the calculation:
* formation energy: 0.89 eV per atom
* offset from the most stable computed form: 3.25 eV/f.u.
* final energy: -31.8 eV/cell
* magnetic moment: 1.0 Bohr magnetons per cell

Cell lengths 4.1918, 4.1918, 4.1918 Å; angles 90.00, 90.00, 90.00 degrees
With the nearest neighbours (Å) after each atom.
Element x y z (fractional)
1 Co 0.5000 0.0000 0.0000  2 Ga 2.10
2 Ta 0.5000 0.5000 0.5000  12 Co 2.96
3 Co 0.0000 0.5000 0.0000  2 Ga 2.10
4 Ga 0.0000 0.0000 0.0000  6 Co 2.10
5 Co 0.0000 0.0000 0.5000  2 Ga 2.10



Entry 2:
TaGa2Co2 after structural relaxation. Source: Alexandria via LeMat-Bulk, functional PBE.

Values from the calculation:
* formation energy: -0.13 eV per atom
* offset from the most stable computed form: 0.15 eV/f.u.
* final energy: -65.6 eV/cell
* magnetic moment: 0.0 Bohr magnetons per cell

Cell lengths 6.9251, 6.9251, 2.8184 Å; angles 90.00, 90.00, 90.00 degrees
With the nearest neighbours (Å) after each atom.
Element x y z (fractional)
1 Ga 0.8388 0.3388 0.5000  6 Co 2.45-2.49
2 Ga 0.3388 0.1612 0.5000  6 Co 2.45-2.49
3 Co 0.6347 0.1347 0.0000  6 Ga 2.45-2.49, 1 Co 2.64, 2 Ta 2.70
4 Ga 0.6612 0.8388 0.5000  6 Co 2.45-2.49
5 Ta 0.0000 0.0000 0.0000  4 Co 2.70, 2 Ta 2.82, 8 Ga 2.96
6 Ta 0.5000 0.5000 0.0000  4 Co 2.70, 2 Ta 2.82, 8 Ga 2.96
7 Co 0.8653 0.6347 0.0000  6 Ga 2.45-2.49, 1 Co 2.64, 2 Ta 2.70
8 Co 0.1347 0.3653 0.0000  6 Ga 2.45-2.49, 1 Co 2.64, 2 Ta 2.70
9 Ga 0.1612 0.6612 0.5000  6 Co 2.45-2.49
10 Co 0.3653 0.8653 0.0000  6 Ga 2.45-2.49, 1 Co 2.64, 2 Ta 2.70



Entry 3:
Ta2Ga2Co3 after structural relaxation. Source: Alexandria via LeMat-Bulk, functional PBE.

Values from the calculation:
* formation energy: -0.23 eV per atom
* final energy: -52.7 eV/cell
* magnetic moment: 1.5 Bohr magnetons per cell

Cell lengths 4.2338, 4.2327, 7.0284 Å; angles 90.07, 107.53, 119.99 degrees
With the nearest neighbours (Å) after each atom.
Element x y z (fractional)
1 Ga 0.7372 0.8682 0.6062  5 Co 2.50-2.68
2 Co 0.0000 0.0000 0.0000  2 Ga 2.59, 6 Ta 2.64, 6 Co 2.86-2.87
3 Co 0.5155 0.2573 0.7731  4 Ta 2.49-2.50, 4 Ga 2.50-2.68
4 Ta 0.2317 0.6156 0.8478  7 Co 2.49-2.64
5 Ga 0.2628 0.1318 0.3938  5 Co 2.50-2.68
6 Ta 0.7683 0.3844 0.1522  7 Co 2.49-2.64
7 Co 0.4845 0.7427 0.2269  4 Ta 2.49-2.50, 4 Ga 2.50-2.68



Entry 4:
Ta4GaCo after structural relaxation. Source: Alexandria via LeMat-Bulk, functional PBE.

Values from the calculation:
* formation energy: -0.24 eV per atom
* final energy: -118.0 eV/cell
* magnetic moment: 0.0 Bohr magnetons per cell

Cell lengths 5.0348, 6.2632, 6.2632 Å; angles 90.00, 90.00, 90.00 degrees
With the nearest neighbours (Å) after each atom.
Element x y z (fractional)
1 Co 0.7500 0.5000 0.5000  2 Co 2.52, 8 Ta 2.59
2 Ta 0.0000 0.6458 0.8298  2 Co 2.59, 2 Ga 2.76, 1 Ta 2.81
3 Ta 0.5000 0.1702 0.3542  2 Co 2.59, 2 Ga 2.76, 1 Ta 2.81
4 Ga 0.2500 0.0000 0.0000  2 Ga 2.52, 8 Ta 2.76
5 Ta 0.0000 0.1702 0.6458  2 Co 2.59, 2 Ga 2.76, 1 Ta 2.81
6 Ga 0.7500 0.0000 0.0000  2 Ga 2.52, 8 Ta 2.76
7 Ta 0.5000 0.8298 0.6458  2 Co 2.59, 2 Ga 2.76, 1 Ta 2.81
8 Ta 0.0000 0.8298 0.3542  2 Co 2.59, 2 Ga 2.76, 1 Ta 2.81
9 Ta 0.0000 0.3542 0.1702  2 Co 2.59, 2 Ga 2.76, 1 Ta 2.81
10 Ta 0.5000 0.3542 0.8298  2 Co 2.59, 2 Ga 2.76, 1 Ta 2.81
11 Ta 0.5000 0.6458 0.1702  2 Co 2.59, 2 Ga 2.76, 1 Ta 2.81
12 Co 0.2500 0.5000 0.5000  2 Co 2.52, 8 Ta 2.59



Entry 5:
Ta2GaCoTc after structural relaxation. Source: Alexandria via LeMat-Bulk, functional PBE.

Values from the calculation:
* formation energy: 1.59 eV per atom
* final energy: -36.2 eV/cell
* magnetic moment: 0.0 Bohr magnetons per cell

Cell lengths 4.6696, 4.4243, 4.6696 Å; angles 90.00, 90.00, 90.00 degrees
With the nearest neighbours (Å) after each atom.
Element x y z (fractional)
1 Ta 0.0000 0.0000 0.5000  2 Ga 2.33
2 Co 0.5000 0.5000 0.5000  8 Ta 3.22, 4 Tc 3.30
3 Ga 0.0000 0.0000 0.0000  2 Tc 2.21, 4 Ta 2.33
4 Tc 0.0000 0.5000 0.0000  2 Ga 2.21
5 Ta 0.5000 0.0000 0.0000  2 Ga 2.33



Entry 6:
TaGaCoTe2 after structural relaxation. Source: Alexandria via LeMat-Bulk, functional PBE.

Values from the calculation:
* raw formation energy: 746.6 kJ/mol of formula units
* final energy: -20.5 eV/cell
* magnetic moment: 3.6 Bohr magnetons per cell

Cell lengths 5.2461, 4.8520, 5.2461 Å; angles 90.00, 90.00, 90.00 degrees
With the nearest neighbours (Å) after each atom.
Element x y z (fractional)
1 Ta 0.0000 0.5000 0.0000  2 Ga 2.43
2 Te 0.5000 0.0000 0.0000  2 Ga 2.62
3 Te 0.0000 0.0000 0.5000  2 Ga 2.62
4 Ga 0.0000 0.0000 0.0000  2 Ta 2.43, 4 Te 2.62
5 Co 0.5000 0.5000 0.5000  8 Te 3.57, 4 Ta 3.71



Entry 7:
TaTi2GaCo after structural relaxation. Source: Alexandria via LeMat-Bulk, functional PBE.

Values from the calculation:
* formation energy: 1.20 eV per atom
* final energy: -31.8 eV/cell
* magnetic moment: 0.0 Bohr magnetons per cell

Cell lengths 4.5658, 4.7628, 4.5658 Å; angles 90.00, 90.00, 90.00 degrees
With the nearest neighbours (Å) after each atom.
Element x y z (fractional)
1 Ga 0.0000 0.0000 0.0000  4 Ti 2.28, 2 Ta 2.38
2 Co 0.5000 0.5000 0.5000  4 Ta 3.23, 8 Ti 3.30
3 Ta 0.0000 0.5000 0.0000  2 Ga 2.38
4 Ti 0.0000 0.0000 0.5000  2 Ga 2.28
5 Ti 0.5000 0.0000 0.0000  2 Ga 2.28



Entry 8:
TaV2GaCo after structural relaxation. Source: Alexandria via LeMat-Bulk, functional PBE.

Values from the calculation:
* formation energy: 0.61 eV per atom
* final energy: -37.2 eV/cell
* magnetic moment: 0.0 Bohr magnetons per cell

Cell lengths 4.2791, 4.6235, 4.2791 Å; angles 90.00, 90.00, 90.00 degrees
With the nearest neighbours (Å) after each atom.
Element x y z (fractional)
1 Ga 0.5000 0.5000 0.5000  4 Ta 3.03, 8 V 3.15
2 Co 0.0000 0.0000 0.0000  4 V 2.14, 2 Ta 2.31
3 Ta 0.0000 0.5000 0.0000  2 Co 2.31
4 V 0.5000 0.0000 0.0000  2 Co 2.14
5 V 0.0000 0.0000 0.5000  2 Co 2.14



Entry 9:
TbGa8Co2 after structural relaxation. Source: Alexandria via LeMat-Bulk, functional PBE.

Values from the calculation:
* formation energy: 0.02 eV per atom
* final energy: -42.9 eV/cell
* magnetic moment: 0.0 Bohr magnetons per cell

Cell lengths 5.6615, 5.6615, 7.3211 Å; angles 90.00, 90.00, 90.00 degrees
With the nearest neighbours (Å) after each atom.
Element x y z (fractional)
1 Ga 0.2449 0.2449 0.1913  2 Co 2.44
2 Ga 0.2449 0.7551 0.1913  2 Co 2.44
3 Co 0.0000 0.5000 0.0000  8 Ga 2.44
4 Tb 0.5000 0.5000 0.5000  8 Ga 3.05
5 Co 0.5000 0.0000 0.0000  8 Ga 2.44
6 Ga 0.7551 0.2449 0.1913  2 Co 2.44
7 Ga 0.7551 0.2449 0.8087  2 Co 2.44
8 Ga 0.2449 0.7551 0.8087  2 Co 2.44
9 Ga 0.7551 0.7551 0.1913  2 Co 2.44
10 Ga 0.7551 0.7551 0.8087  2 Co 2.44
11 Ga 0.2449 0.2449 0.8087  2 Co 2.44



Entry 10:
Tb3Ga7Co4 after structural relaxation. Source: Alexandria via LeMat-Bulk, functional PBE.

Values from the calculation:
* formation energy: -0.46 eV per atom
* final energy: -69.9 eV/cell
* magnetic moment: 0.0 Bohr magnetons per cell

Cell lengths 4.1279, 7.8509, 8.1358 Å; angles 69.69, 75.30, 74.76 degrees
With the nearest neighbours (Å) after each atom.
Element x y z (fractional)
1 Co 0.6663 0.4551 0.2122  5 Ga 2.40-2.49
2 Tb 0.3083 0.1799 0.2034  10 Ga 2.94-3.24, 4 Co 2.95
3 Ga 0.0000 0.0000 0.0000  2 Co 2.49
4 Tb 0.0000 0.5000 0.5000  6 Co 2.87-3.16, 2 Ga 3.15
5 Ga 0.5051 0.7700 0.2197  3 Co 2.40-2.53, 1 Ga 2.60
6 Co 0.1123 0.1071 0.6682  6 Ga 2.49-2.64
7 Ga 0.8420 0.3979 0.9181  3 Co 2.42-2.48
8 Ga 0.4949 0.2300 0.7803  3 Co 2.40-2.53, 1 Ga 2.60
9 Tb 0.6917 0.8201 0.7966  10 Ga 2.94-3.24, 4 Co 2.95
10 Co 0.3337 0.5449 0.7878  5 Ga 2.40-2.49
11 Co 0.8877 0.8929 0.3318  6 Ga 2.49-2.64
12 Ga 0.3206 0.8306 0.5281  4 Co 2.49-2.64, 1 Ga 2.60
13 Ga 0.6794 0.1694 0.4719  4 Co 2.49-2.64, 1 Ga 2.60
14 Ga 0.1580 0.6021 0.0819  3 Co 2.42-2.48



Entry 11:
Tb2Ga3Co after structural relaxation. Source: Alexandria via LeMat-Bulk, functional PBE.

Values from the calculation:
* formation energy: -0.55 eV per atom
* final energy: -28.8 eV/cell
* magnetic moment: 0.0 Bohr magnetons per cell

Cell lengths 4.2670, 5.5914, 5.7121 Å; angles 77.74, 68.07, 67.57 degrees
With the nearest neighbours (Å) after each atom.
Element x y z (fractional)
1 Ga 0.8522 0.6131 0.6825  1 Co 2.45, 2 Ga 2.59
2 Ga 0.1673 0.7562 0.9093  3 Ga 2.59-2.81, 1 Co 2.70
3 Tb 0.5484 0.2079 0.6954  9 Ga 2.99-3.29, 2 Co 3.09
4 Tb 0.4504 0.8023 0.2969  8 Ga 2.98-3.23, 3 Co 3.00-3.04
5 Co 0.1606 0.3829 0.2960  4 Ga 2.45-2.70
6 Ga 0.8212 0.2377 0.1199  2 Co 2.47



Entry 12:
TbGa2Co3 after structural relaxation. Source: Alexandria via LeMat-Bulk, functional PBE.

Values from the calculation:
* formation energy: -0.38 eV per atom
* offset from the most stable computed form: 0.00 eV/f.u.
* final energy: -102.8 eV/cell
* magnetic moment: 4.0 Bohr magnetons per cell

Cell lengths 8.7533, 8.7533, 4.0480 Å; angles 90.00, 90.00, 120.00 degrees
With the nearest neighbours (Å) after each atom.
Element x y z (fractional)
1 Co 0.6391 0.8198 0.0000  4 Ga 2.40-2.46, 2 Co 2.45
2 Ga 0.7275 0.7275 0.5000  6 Co 2.44-2.50
3 Co 0.7028 0.0000 0.5000  4 Co 2.45, 4 Ga 2.50-2.67
4 Co 0.3609 0.1808 0.0000  4 Ga 2.40-2.46, 2 Co 2.45
5 Co 0.8192 0.1802 0.0000  4 Ga 2.40-2.46, 2 Co 2.45
6 Ga 0.4960 0.4960 0.0000  6 Co 2.40-2.67
7 Co 0.0000 0.7028 0.5000  4 Co 2.45, 4 Ga 2.50-2.67
8 Co 0.1802 0.8192 0.0000  4 Ga 2.40-2.46, 2 Co 2.45
9 Co 0.8198 0.6391 0.0000  4 Ga 2.40-2.46, 2 Co 2.45
10 Ga 0.2725 0.0000 0.5000  6 Co 2.44-2.50
11 Tb 0.6667 0.3333 0.5000  9 Co 3.08-3.09, 9 Ga 3.22-3.24
12 Co 0.1808 0.3609 0.0000  4 Ga 2.40-2.46, 2 Co 2.45
13 Tb 0.0000 0.0000 0.0000  6 Co 2.74
14 Tb 0.3333 0.6667 0.5000  9 Co 3.08-3.09, 9 Ga 3.22-3.24
15 Ga 0.0000 0.5040 0.0000  6 Co 2.40-2.67
16 Co 0.2972 0.2972 0.5000  4 Co 2.45, 4 Ga 2.50-2.67
17 Ga 0.0000 0.2725 0.5000  6 Co 2.44-2.50
18 Ga 0.5040 0.0000 0.0000  6 Co 2.40-2.67



Entry 13:
TbGaCo after structural relaxation. Source: Alexandria via LeMat-Bulk, functional PBE.

Values from the calculation:
* formation energy: -0.40 eV per atom
* final energy: -16.0 eV/cell
* magnetic moment: 0.6 Bohr magnetons per cell

Cell lengths 3.6885, 4.2091, 4.2091 Å; angles 120.00, 90.00, 90.00 degrees
With the nearest neighbours (Å) after each atom.
Element x y z (fractional)
1 Co 0.1667 0.6667 0.3333  3 Ga 2.43
2 Tb 0.6667 0.3333 0.6667  6 Co 3.05, 6 Ga 3.05
3 Ga 0.1666 0.0000 0.0000  3 Co 2.43